Compound: Th2CdSb4
Source: the Alexandria database
Functional: PBE-GGA
Structure: relaxed

abc: 4.408 4.408 10.760
angles: 90.00 90.00 90.00
Sites, in units of the cell vectors:
Th 0.500 0.000 0.725
Th 0.000 0.500 0.275
Cd 0.500 0.500 0.000
Sb 0.500 0.000 0.180
Sb 0.000 0.500 0.820
Sb 0.500 0.500 0.500
Sb 0.000 0.000 0.500

**Spin magnetization**: 0.00 μB per atom
**VASP energy**: -36.5 eV/cell
**Formation energy from raw total energies**: -59 kJ per mole of atoms
**Crystal system**: tetragonal